Below is a geometry-optimized TaFeHgPb structure, with properties calculated at the PBE-GGA level.

Cell and atoms, written as CIF:
```
data_TaFeHgPb
_chemical_formula_sum 'Ta4 Fe4 Hg4 Pb4'
_cell_length_a 6.664
_cell_length_b 6.664
_cell_length_c 6.664
_cell_angle_alpha 90.00
_cell_angle_beta 90.00
_cell_angle_gamma 90.00
_symmetry_space_group_name_H-M 'F -4 3 m'
_symmetry_Int_Tables_number 216
_symmetry_space_group_name_Hall 'F -4 2 3'
loop_
_atom_site_label
_atom_site_type_symbol
_atom_site_fract_x
_atom_site_fract_y
_atom_site_fract_z
Ta1 Ta 0.000 0.000 0.000
Fe1 Fe 0.000 0.000 0.500
Hg1 Hg 0.250 0.250 0.750
Pb1 Pb 0.250 0.250 0.250
```

Calculated values
The energy relative to the lowest polymorph listed for this composition comes out at 0 kJ/mol of formula units. As for the total magnetization: 0.367 μB per atom.


Below is a geometry-optimized NaLaTeOs structure, with properties calculated at the PBE-GGA level.

Cell and atoms, written as CIF:
```
data_NaLaTeOs
_chemical_formula_sum 'Na4 La4 Te4 Os4'
_cell_length_a 6.992
_cell_length_b 6.992
_cell_length_c 6.992
_cell_angle_alpha 90.00
_cell_angle_beta 90.00
_cell_angle_gamma 90.00
_symmetry_space_group_name_H-M 'F -4 3 m'
_symmetry_Int_Tables_number 216
_symmetry_space_group_name_Hall 'F -4 2 3'
loop_
_atom_site_label
_atom_site_type_symbol
_atom_site_fract_x
_atom_site_fract_y
_atom_site_fract_z
Na1 Na 0.000 0.000 0.000
La1 La 0.250 0.250 0.750
Te1 Te 0.250 0.250 0.250
Os1 Os 0.000 0.000 0.500
```

Calculated values
The energy relative to the lowest polymorph listed for this composition comes out at 0 kJ/mol of formula units. As for the total magnetization: 0.000 μB per atom.


Below is a geometry-optimized PaBeTe structure, with properties calculated at the PBE-GGA level.

Cell and atoms, written as CIF:
```
data_PaBeTe
_chemical_formula_sum 'Pa4 Be4 Te4'
_cell_length_a 6.806
_cell_length_b 6.806
_cell_length_c 6.806
_cell_angle_alpha 90.00
_cell_angle_beta 90.00
_cell_angle_gamma 90.00
_symmetry_space_group_name_H-M 'F -4 3 m'
_symmetry_Int_Tables_number 216
_symmetry_space_group_name_Hall 'F -4 2 3'
loop_
_atom_site_label
_atom_site_type_symbol
_atom_site_fract_x
_atom_site_fract_y
_atom_site_fract_z
Pa1 Pa 0.000 0.000 0.000
Be1 Be 0.000 0.000 0.500
Te1 Te 0.250 0.250 0.750
```

Calculated values
The energy relative to the lowest polymorph listed for this composition comes out at 127 kJ/mol of formula units. As for the total magnetization: 0.271 μB per atom.


Below is a geometry-optimized RbTbNd structure, with properties calculated at the PBE-GGA level.

Cell and atoms, written as CIF:
```
data_RbTbNd
_chemical_formula_sum 'Rb4 Tb4 Nd4'
_cell_length_a 8.552
_cell_length_b 8.552
_cell_length_c 8.552
_cell_angle_alpha 90.00
_cell_angle_beta 90.00
_cell_angle_gamma 90.00
_symmetry_space_group_name_H-M 'F -4 3 m'
_symmetry_Int_Tables_number 216
_symmetry_space_group_name_Hall 'F -4 2 3'
loop_
_atom_site_label
_atom_site_type_symbol
_atom_site_fract_x
_atom_site_fract_y
_atom_site_fract_z
Rb1 Rb 0.000 0.000 0.000
Tb1 Tb 0.000 0.000 0.500
Nd1 Nd 0.250 0.250 0.250
```

Calculated values
As for the total magnetization: 0.998 μB per atom.


Below is a geometry-optimized Li2Mg2CdInAu2 structure, with properties calculated at the PBE-GGA level.

Cell and atoms, written as CIF:
```
data_Li2Mg2CdInAu2
_chemical_formula_sum 'Li2 Mg2 Cd1 In1 Au2'
_cell_length_a 4.667
_cell_length_b 4.667
_cell_length_c 6.604
_cell_angle_alpha 90.00
_cell_angle_beta 90.00
_cell_angle_gamma 90.00
_symmetry_space_group_name_H-M 'P -4 m 2'
_symmetry_Int_Tables_number 115
loop_
_symmetry_equiv_pos_as_xyz
'x,y,z'
'y,-x,-z'
'-x,-y,z'
'-y,x,-z'
'-x,y,z'
'-y,-x,-z'
'x,-y,z'
'y,x,-z'
loop_
_atom_site_label
_atom_site_type_symbol
_atom_site_fract_x
_atom_site_fract_y
_atom_site_fract_z
Li1 Li 0.000 0.500 0.248
Mg1 Mg 0.000 0.000 0.000
Mg2 Mg 0.500 0.500 0.500
Cd1 Cd 0.500 0.500 0.000
In1 In 0.000 0.000 0.500
Au1 Au 0.000 0.500 0.748
```


Below is a geometry-optimized Hf4Mo2P3C3 structure, with properties calculated at the PBE-GGA level.

Cell and atoms, written as CIF:
```
data_Hf4Mo2P3C3
_chemical_formula_sum 'Hf16 Mo8 P12 C12'
_cell_length_a 9.960
_cell_length_b 5.770
_cell_length_c 12.298
_cell_angle_alpha 90.00
_cell_angle_beta 105.54
_cell_angle_gamma 90.00
_symmetry_space_group_name_H-M 'C 1 2/c 1'
_symmetry_Int_Tables_number 15
loop_
_symmetry_equiv_pos_as_xyz
'x,y,z'
'-x,-y,-z'
'-x,y,-z+1/2'
'x,-y,z+1/2'
'x+1/2,y+1/2,z'
'-x+1/2,-y+1/2,-z'
'-x+1/2,y+1/2,-z+1/2'
'x+1/2,-y+1/2,z+1/2'
loop_
_atom_site_label
_atom_site_type_symbol
_atom_site_fract_x
_atom_site_fract_y
_atom_site_fract_z
Hf1 Hf 0.119 0.082 0.106
Hf2 Hf 0.214 0.084 0.394
Mo1 Mo 0.056 0.414 0.911
P1 P 0.000 0.111 0.750
P2 P 0.154 0.430 0.251
C1 C 0.084 0.247 0.500
C2 C 0.250 0.250 0.000
```

Calculated values
As for the total magnetization: 0.000 μB per atom.


Below is a geometry-optimized AlZnB5H20C5N5O10 structure, with properties calculated at the PBE-GGA level.

Cell and atoms, written as CIF:
```
data_AlZnB5H20C5N5O10
_chemical_formula_sum 'Al2 Zn2 B10 H40 C10 N10 O20'
_cell_length_a 7.162
_cell_length_b 8.942
_cell_length_c 13.580
_cell_angle_alpha 77.21
_cell_angle_beta 77.35
_cell_angle_gamma 69.75
_symmetry_space_group_name_H-M 'P 1'
_symmetry_Int_Tables_number 1
loop_
_symmetry_equiv_pos_as_xyz
'x,y,z'
loop_
_atom_site_label
_atom_site_type_symbol
_atom_site_fract_x
_atom_site_fract_y
_atom_site_fract_z
Al1 Al 0.000 0.000 0.000
Al2 Al 0.106 0.582 0.494
Zn1 Zn 0.402 0.407 0.127
Zn2 Zn 0.413 0.978 0.611
B1 B 0.445 0.857 0.930
B2 B 0.556 0.429 0.447
B3 B 0.722 0.617 0.870
B4 B 0.780 0.805 0.965
B5 B 0.827 0.215 0.359
B6 B 0.848 0.318 0.869
B7 B 0.894 0.449 0.399
B8 B 0.906 0.502 0.711
B9 B 0.941 0.040 0.223
B10 B 0.994 0.917 0.397
H1 H 0.071 0.013 0.737
H2 H 0.083 0.721 0.785
H3 H 0.084 0.805 0.653
H4 H 0.107 0.611 0.019
H5 H 0.138 0.697 0.194
H6 H 0.144 0.483 0.887
H7 H 0.150 0.266 0.040
H8 H 0.171 0.070 0.470
H9 H 0.210 0.245 0.705
H10 H 0.215 0.300 0.300
H11 H 0.239 0.572 0.286
H12 H 0.249 0.899 0.802
H13 H 0.286 0.055 0.259
H14 H 0.307 0.185 0.932
H15 H 0.308 0.189 0.457
H16 H 0.331 0.621 0.966
H17 H 0.350 0.540 0.675
H18 H 0.357 0.304 0.604
H19 H 0.398 0.774 0.250
H20 H 0.401 0.786 0.119
H21 H 0.411 0.432 0.875
H22 H 0.443 0.704 0.534
H23 H 0.452 0.280 0.310
H24 H 0.452 0.868 0.395
H25 H 0.460 0.617 0.751
H26 H 0.470 0.100 0.082
H27 H 0.470 0.104 0.798
H28 H 0.517 0.289 0.744
H29 H 0.548 0.030 0.224
H30 H 0.591 0.202 0.993
H31 H 0.607 0.985 0.393
H32 H 0.635 0.659 0.591
H33 H 0.667 0.524 0.261
H34 H 0.726 0.479 0.049
H35 H 0.742 0.843 0.686
H36 H 0.744 0.651 0.152
H37 H 0.761 0.169 0.604
H38 H 0.761 0.349 0.158
H39 H 0.805 0.929 0.569
H40 H 0.820 0.054 0.724
C1 C 0.169 0.772 0.717
C2 C 0.272 0.435 0.929
C3 C 0.288 0.267 0.985
C4 C 0.373 0.650 0.688
C5 C 0.413 0.080 0.278
C6 C 0.422 0.701 0.191
C7 C 0.455 0.992 0.386
C8 C 0.507 0.179 0.725
C9 C 0.636 0.583 0.183
C10 C 0.711 0.089 0.670
N1 N 0.202 0.919 0.732
N2 N 0.254 0.541 0.002
N3 N 0.272 0.615 0.210
N4 N 0.315 0.070 0.471
N5 N 0.351 0.210 0.663
N6 N 0.365 0.256 0.268
N7 N 0.457 0.214 0.043
N8 N 0.485 0.722 0.597
N9 N 0.666 0.455 0.124
N10 N 0.703 0.948 0.634
O1 O 0.008 0.902 0.296
O2 O 0.033 0.519 0.401
O3 O 0.063 0.789 0.469
O4 O 0.249 0.944 0.940
O5 O 0.365 0.489 0.494
O6 O 0.510 0.721 0.885
O7 O 0.581 0.907 0.964
O8 O 0.615 0.293 0.403
O9 O 0.695 0.507 0.448
O10 O 0.731 0.450 0.914
O11 O 0.800 0.632 0.760
O12 O 0.832 0.183 0.257
O13 O 0.844 0.666 0.924
O14 O 0.871 0.166 0.919
O15 O 0.904 0.842 0.011
O16 O 0.912 0.066 0.428
O17 O 0.938 0.344 0.766
O18 O 0.950 0.321 0.349
O19 O 0.980 0.521 0.611
O20 O 0.985 0.030 0.123
```


Below is a geometry-optimized PmTlNO structure, with properties calculated at the PBE-GGA level.

Cell and atoms, written as CIF:
```
data_PmTlNO
_chemical_formula_sum 'Pm2 Tl2 N2 O2'
_cell_length_a 4.172
_cell_length_b 4.172
_cell_length_c 8.028
_cell_angle_alpha 90.00
_cell_angle_beta 90.00
_cell_angle_gamma 90.00
_symmetry_space_group_name_H-M 'P 4/n m m'
_symmetry_Int_Tables_number 129
loop_
_symmetry_equiv_pos_as_xyz
'x,y,z'
'-x,-y,-z'
'-y+1/2,x,z'
'y+1/2,-x,-z'
'-x+1/2,-y+1/2,z'
'x+1/2,y+1/2,-z'
'y,-x+1/2,z'
'-y,x+1/2,-z'
'x+1/2,-y,-z'
'-x+1/2,y,z'
'-y,-x,-z'
'y,x,z'
'-x,y+1/2,-z'
'x,-y+1/2,z'
'y+1/2,x+1/2,-z'
'-y+1/2,-x+1/2,z'
loop_
_atom_site_label
_atom_site_type_symbol
_atom_site_fract_x
_atom_site_fract_y
_atom_site_fract_z
Pm1 Pm 0.250 0.250 0.130
Tl1 Tl 0.250 0.750 0.500
N1 N 0.250 0.250 0.672
O1 O 0.250 0.750 0.000
```

Calculated values
The energy relative to the lowest polymorph listed for this composition comes out at 75 kJ/mol of formula units. As for the total magnetization: 0.000 μB per atom.


Below is a geometry-optimized HfZnFeBi structure, with properties calculated at the PBE-GGA level.

Cell and atoms, written as CIF:
```
data_HfZnFeBi
_chemical_formula_sum 'Hf4 Zn4 Fe4 Bi4'
_cell_length_a 6.602
_cell_length_b 6.602
_cell_length_c 6.602
_cell_angle_alpha 90.00
_cell_angle_beta 90.00
_cell_angle_gamma 90.00
_symmetry_space_group_name_H-M 'F -4 3 m'
_symmetry_Int_Tables_number 216
_symmetry_space_group_name_Hall 'F -4 2 3'
loop_
_atom_site_label
_atom_site_type_symbol
_atom_site_fract_x
_atom_site_fract_y
_atom_site_fract_z
Hf1 Hf 0.000 0.000 0.000
Zn1 Zn 0.250 0.250 0.250
Fe1 Fe 0.250 0.250 0.750
Bi1 Bi 0.000 0.000 0.500
```

Calculated values
The energy relative to the lowest polymorph listed for this composition comes out at 0 kJ/mol of formula units. As for the total magnetization: 0.199 μB per atom.


Below is a geometry-optimized NaErZnTe3 structure, with properties calculated at the PBE-GGA level.

Cell and atoms, written as CIF:
```
data_NaErZnTe3
_chemical_formula_sum 'Na2 Er2 Zn2 Te6'
_cell_length_a 8.746
_cell_length_b 4.297
_cell_length_c 10.438
_cell_angle_alpha 90.00
_cell_angle_beta 105.44
_cell_angle_gamma 90.00
_symmetry_space_group_name_H-M 'P 1 21/m 1'
_symmetry_Int_Tables_number 11
loop_
_symmetry_equiv_pos_as_xyz
'x,y,z'
'-x,-y,-z'
'-x,y+1/2,-z'
'x,-y+1/2,z'
loop_
_atom_site_label
_atom_site_type_symbol
_atom_site_fract_x
_atom_site_fract_y
_atom_site_fract_z
Na1 Na 0.224 0.250 0.260
Er1 Er 0.320 0.750 0.855
Zn1 Zn 0.081 0.250 0.603
Te1 Te 0.070 0.250 0.853
Te2 Te 0.238 0.750 0.539
Te3 Te 0.437 0.750 0.158
```

Calculated values
The energy relative to the lowest polymorph listed for this composition comes out at 6 kJ/mol of formula units. As for the total magnetization: 0.001 μB per atom.


Below is a geometry-optimized Dy3Cu3Sb4 structure, with properties calculated at the PBE-GGA level.

Cell and atoms, written as CIF:
```
data_Dy3Cu3Sb4
_chemical_formula_sum 'Dy12 Cu12 Sb16'
_cell_length_a 9.565
_cell_length_b 9.565
_cell_length_c 9.565
_cell_angle_alpha 90.00
_cell_angle_beta 90.00
_cell_angle_gamma 90.00
_symmetry_space_group_name_H-M 'I -4 3 d'
_symmetry_Int_Tables_number 220
_symmetry_space_group_name_Hall 'I -4bd 2c 3'
loop_
_atom_site_label
_atom_site_type_symbol
_atom_site_fract_x
_atom_site_fract_y
_atom_site_fract_z
Dy1 Dy 0.000 0.250 0.375
Cu1 Cu 0.000 0.250 0.875
Sb1 Sb 0.080 0.080 0.080
```

Calculated values
As for the total magnetization: 0.001 μB per atom.


Below is a geometry-optimized ZnSeO3 structure, with properties calculated at the PBE-GGA level.

Cell and atoms, written as CIF:
```
data_ZnSeO3
_chemical_formula_sum 'Zn2 Se2 O6'
_cell_length_a 3.428
_cell_length_b 6.143
_cell_length_c 6.381
_cell_angle_alpha 90.00
_cell_angle_beta 100.81
_cell_angle_gamma 90.00
_symmetry_space_group_name_H-M 'P 1 21/m 1'
_symmetry_Int_Tables_number 11
loop_
_symmetry_equiv_pos_as_xyz
'x,y,z'
'-x,-y,-z'
'-x,y+1/2,-z'
'x,-y+1/2,z'
loop_
_atom_site_label
_atom_site_type_symbol
_atom_site_fract_x
_atom_site_fract_y
_atom_site_fract_z
Zn1 Zn 0.000 0.000 0.000
Se1 Se 0.465 0.250 0.667
O1 O 0.213 0.528 0.305
O2 O 0.443 0.250 0.951
```


Below is a geometry-optimized BaGdAuSeS2 structure, with properties calculated at the PBE-GGA level.

Cell and atoms, written as CIF:
```
data_BaGdAuSeS2
_chemical_formula_sum 'Ba4 Gd4 Au4 Se4 S8'
_cell_length_a 4.156
_cell_length_b 14.156
_cell_length_c 10.675
_cell_angle_alpha 90.00
_cell_angle_beta 90.00
_cell_angle_gamma 90.00
_symmetry_space_group_name_H-M 'C m c m'
_symmetry_Int_Tables_number 63
_symmetry_space_group_name_Hall '-C 2c 2'
loop_
_atom_site_label
_atom_site_type_symbol
_atom_site_fract_x
_atom_site_fract_y
_atom_site_fract_z
Ba1 Ba 0.000 0.241 0.250
Gd1 Gd 0.000 0.000 0.000
Au1 Au 0.000 0.462 0.750
Se1 Se 0.000 0.084 0.750
S1 S 0.000 0.369 0.553
```

Calculated values
As for the total magnetization: 0.000 μB per atom.


Below is a geometry-optimized TbMgPd structure, with properties calculated at the PBE-GGA level.

Cell and atoms, written as CIF:
```
data_TbMgPd
_chemical_formula_sum 'Tb3 Mg3 Pd3'
_cell_length_a 7.4859
_cell_length_b 7.4859
_cell_length_c 4.0407
_cell_angle_alpha 90.00
_cell_angle_beta 90.00
_cell_angle_gamma 120.00
_symmetry_space_group_name_H-M 'P -6 2 m'
_symmetry_Int_Tables_number 189
_symmetry_space_group_name_Hall 'P -6 -2'
loop_
_atom_site_label
_atom_site_type_symbol
_atom_site_fract_x
_atom_site_fract_y
_atom_site_fract_z
Tb1 Tb 0.0000 0.4126 0.0000
Mg1 Mg 0.0000 0.7558 0.5000
Pd1 Pd 0.0000 0.0000 0.0000
Pd2 Pd 0.3333 0.6667 0.5000
```

Calculated values
As for the total magnetization: 0.001 μB per atom.


Below is a geometry-optimized LiGaSiAg structure, with properties calculated at the PBE-GGA level.

Cell and atoms, written as CIF:
```
data_LiGaSiAg
_chemical_formula_sum 'Li4 Ga4 Si4 Ag4'
_cell_length_a 6.375
_cell_length_b 6.375
_cell_length_c 6.375
_cell_angle_alpha 90.00
_cell_angle_beta 90.00
_cell_angle_gamma 90.00
_symmetry_space_group_name_H-M 'F -4 3 m'
_symmetry_Int_Tables_number 216
_symmetry_space_group_name_Hall 'F -4 2 3'
loop_
_atom_site_label
_atom_site_type_symbol
_atom_site_fract_x
_atom_site_fract_y
_atom_site_fract_z
Li1 Li 0.000 0.000 0.000
Ga1 Ga 0.250 0.250 0.750
Si1 Si 0.000 0.000 0.500
Ag1 Ag 0.250 0.250 0.250
```

Calculated values
The energy relative to the lowest polymorph listed for this composition comes out at 0 kJ/mol of formula units.


Below is a geometry-optimized UPdSe3 structure, with properties calculated at the PBE-GGA level.

Cell and atoms, written as CIF:
```
data_UPdSe3
_chemical_formula_sum 'U4 Pd4 Se12'
_cell_length_a 7.797
_cell_length_b 8.810
_cell_length_c 6.383
_cell_angle_alpha 90.00
_cell_angle_beta 90.00
_cell_angle_gamma 90.00
_symmetry_space_group_name_H-M 'P n m a'
_symmetry_Int_Tables_number 62
loop_
_symmetry_equiv_pos_as_xyz
'x,y,z'
'-x,-y,-z'
'-x+1/2,-y,z+1/2'
'x+1/2,y,-z+1/2'
'x+1/2,-y+1/2,-z+1/2'
'-x+1/2,y+1/2,z+1/2'
'-x,y+1/2,-z'
'x,-y+1/2,z'
loop_
_atom_site_label
_atom_site_type_symbol
_atom_site_fract_x
_atom_site_fract_y
_atom_site_fract_z
U1 U 0.138 0.250 0.065
Pd1 Pd 0.000 0.000 0.500
Se1 Se 0.066 0.750 0.318
Se2 Se 0.161 0.557 0.839
```

Calculated values
As for the total magnetization: 0.372 μB per atom.


| no. | VASP energy (eV/atom) |
| --- | --- |
| 1 | -5.264 |
| 2 | -5.182 |
| 3 | -4.830 |
| 4 | -2.227 |
| 5 | -2.582 |
| 6 | -9.640 |
| 7 | -6.195 |
| 8 | -5.977 |
| 9 | -5.654 |
| 10 | -3.731 |
| 11 | -4.870 |
| 12 | -4.868 |
| 13 | -5.141 |
| 14 | -4.476 |
| 15 | -3.294 |
| 16 | -6.201 |